ZrMnOF2: relaxed, PBE+U.

The structure in CIF format:
```
data_ZrMnOF2
_chemical_formula_sum 'Zr1 Mn1 O1 F2'
_cell_length_a 4.057
_cell_length_b 4.057
_cell_length_c 4.215
_cell_angle_alpha 90.00
_cell_angle_beta 90.00
_cell_angle_gamma 90.00
_symmetry_space_group_name_H-M 'P 4/m m m'
_symmetry_Int_Tables_number 123
_symmetry_space_group_name_Hall '-P 4 2'
loop_
_atom_site_label
_atom_site_type_symbol
_atom_site_fract_x
_atom_site_fract_y
_atom_site_fract_z
Zr1 Zr 0.000 0.000 0.000
Mn1 Mn 0.500 0.500 0.500
O1 O 0.500 0.500 0.000
F1 F 0.000 0.500 0.500
```

Properties
Mass density   4.79 g/cm3
Energy above the most stable polymorph in this dataset   260.3 kJ/mol of formula units
Crystal system   tetragonal
Density of states at the Fermi level   2.3 states/eV per cell